1.
Compound: TbPmTlRh
Source: the Alexandria database
Functional: PBE
Structure: relaxed

```
4
Lattice="3.548 0.000 0.000 0.000 3.548 0.000 0.000 0.000 7.892" Properties=species:S:1:pos:R:3 pbc="T T T"
Tb 0.000 0.000 0.000
Pm 0.000 0.000 3.359
Tl 1.774 1.774 5.681
Rh 1.774 1.774 1.583
```

Computed properties:
Excess energy over the best structure of this formula in the dataset ... 0 meV/atom
E_form ... -0.57 eV/atom
Space group ... P4mm, No. 99



2.
Compound: TbPmTlRh
Source: the Alexandria database
Functional: PBE
Structure: relaxed

```
4
Lattice="0.000 3.672 3.672 3.672 0.000 3.672 3.672 3.672 0.000" Properties=species:S:1:pos:R:3 pbc="T T T"
Tb 0.000 0.000 0.000
Pm 3.672 3.672 3.672
Tl 5.508 5.508 5.508
Rh 1.836 1.836 1.836
```

Computed properties:
Excess energy over the best structure of this formula in the dataset ... 123 meV/atom
E_form ... -0.44 eV/atom
Space group ... F-43m, No. 216



3.
Compound: TbPmZnRh
Source: the Alexandria database
Functional: PBE
Structure: relaxed

```
4
Lattice="0.000 3.547 3.547 3.547 0.000 3.547 3.547 3.547 0.000" Properties=species:S:1:pos:R:3 pbc="T T T"
Tb 0.000 0.000 0.000
Pm 3.547 3.547 3.547
Zn 5.320 5.320 5.320
Rh 1.773 1.773 1.773
```

Computed properties:
Excess energy over the best structure of this formula in the dataset ... 18 meV/atom
E_form ... -0.54 eV/atom
Space group ... F-43m, No. 216



4.
Compound: TbPmZnRh
Source: the Alexandria database
Functional: PBE
Structure: relaxed

```
4
Lattice="4.412 0.000 0.000 0.000 1.967 5.373 0.000 -1.967 5.373" Properties=species:S:1:pos:R:3 pbc="T T T"
Tb 0.000 0.000 0.000
Pm 2.206 0.000 3.001
Zn 0.000 0.000 7.610
Rh 2.206 0.000 6.043
```

Computed properties:
Excess energy over the best structure of this formula in the dataset ... 0 meV/atom
E_form ... -0.56 eV/atom
Space group ... Amm2, No. 38



5.
Compound: Pm8TcRh2
Source: the Alexandria database
Functional: PBE
Structure: relaxed

```
11
Lattice="4.173 -6.553 0.000 4.173 6.553 0.000 -2.153 0.000 5.701" Properties=species:S:1:pos:R:3 pbc="T T T"
Pm 0.000 0.000 0.000
Pm -0.033 1.663 3.279
Pm 2.531 2.742 1.020
Pm -0.033 -1.663 3.279
Pm 3.065 1.645 4.398
Pm 2.531 -2.742 1.020
Pm 3.065 -1.645 4.398
Pm 5.206 0.000 2.070
Tc 2.484 0.000 1.485
Rh 1.534 3.984 3.897
Rh 1.534 -3.984 3.897
```

Computed properties:
Excess energy over the best structure of this formula in the dataset ... 36 meV/atom
E_form ... -0.20 eV/atom
Space group ... Cm, No. 8



6.
Compound: Pm4TcRh
Source: the Alexandria database
Functional: PBE
Structure: relaxed

```
12
Lattice="4.578 -6.638 0.000 4.578 6.638 0.000 -3.679 0.000 5.358" Properties=species:S:1:pos:R:3 pbc="T T T"
Pm 0.077 4.316 4.836
Pm 0.081 0.867 3.930
Pm 3.561 4.316 3.201
Pm 1.920 -0.867 1.251
Pm 3.557 0.867 4.107
Pm 1.916 -4.316 2.157
Pm 5.397 -0.867 1.428
Pm 5.400 -4.316 0.522
Tc 3.658 6.615 1.340
Tc 1.819 -6.615 4.019
Rh 3.658 1.797 1.340
Rh 1.819 -1.797 4.019
```

Computed properties:
E_form ... -0.27 eV/atom
Space group ... C2/c, No. 15



7.
Compound: Pm8TcRh2
Source: the Alexandria database
Functional: PBE
Structure: relaxed

```
11
Lattice="8.901 -2.523 0.000 8.901 2.523 0.000 -1.885 0.000 6.725" Properties=species:S:1:pos:R:3 pbc="T T T"
Pm 0.017 0.000 1.962
Pm 2.039 0.000 5.503
Pm 4.912 0.000 3.597
Pm 7.166 0.000 0.362
Pm 8.751 0.000 6.363
Pm 11.005 0.000 3.128
Pm 13.878 0.000 1.222
Pm 15.900 0.000 4.763
Tc 7.958 0.000 3.363
Rh 3.047 0.000 1.420
Rh 12.870 0.000 5.306
```

Computed properties:
Excess energy over the best structure of this formula in the dataset ... 0 meV/atom
E_form ... -0.24 eV/atom
Space group ... C2/m, No. 12



8.
Compound: PmThTcRh
Source: the Alexandria database
Functional: PBE
Structure: relaxed

```
4
Lattice="0.000 3.535 3.535 3.535 0.000 3.535 3.535 3.535 0.000" Properties=species:S:1:pos:R:3 pbc="T T T"
Pm 0.000 0.000 0.000
Th 3.535 3.535 3.535
Tc 1.768 1.768 1.768
Rh 5.303 5.303 5.303
```

Computed properties:
E_form ... -0.31 eV/atom
Space group ... F-43m, No. 216



9.
Compound: Pm2TeRh
Source: the Alexandria database
Functional: PBE
Structure: relaxed

```
4
Lattice="2.098 1.211 7.457 -2.098 1.211 7.457 0.000 -2.423 7.457" Properties=species:S:1:pos:R:3 pbc="T T T"
Pm 0.000 0.000 5.308
Pm 0.000 0.000 17.063
Te 0.000 0.000 0.000
Rh 0.000 0.000 11.186
```

Computed properties:
Excess energy over the best structure of this formula in the dataset ... 9 meV/atom
Space group ... R-3m, No. 166
E_form (uncorrected) ... -1.02 eV/atom



10.
Compound: Pm12TeRh6
Source: the Alexandria database
Functional: PBE
Structure: relaxed

```
19
Lattice="-5.097 5.097 5.097 5.097 -5.097 5.097 5.097 5.097 -5.097" Properties=species:S:1:pos:R:3 pbc="T T T"
Pm 5.097 -1.962 3.188
Pm 3.135 1.909 0.000
Pm 7.059 1.909 0.000
Pm 3.188 5.097 -1.962
Pm 1.909 0.000 3.135
Pm 0.000 3.135 1.909
Pm 5.097 1.962 3.188
Pm 3.188 5.097 1.962
Pm 1.909 0.000 7.059
Pm -1.962 3.188 5.097
Pm 1.962 3.188 5.097
Pm 0.000 7.059 1.909
Te 0.000 0.000 0.000
Rh 5.097 0.000 1.355
Rh 5.097 3.742 0.000
Rh 1.355 5.097 0.000
Rh 3.742 0.000 5.097
Rh 0.000 1.355 5.097
Rh 0.000 5.097 3.742
```

Computed properties:
Space group ... Im-3, No. 204
E_form (uncorrected) ... -0.60 eV/atom



11.
Compound: Pm4TeRh2
Source: the Alexandria database
Functional: PBE
Structure: relaxed

```
14
Lattice="-4.622 4.622 4.481 4.622 -4.622 4.481 4.622 4.622 -4.481" Properties=species:S:1:pos:R:3 pbc="T T T"
Pm 2.975 -0.602 0.739
Pm 6.270 0.602 0.739
Pm 4.020 2.975 -1.502
Pm 5.224 -1.647 3.742
Pm 0.602 1.647 2.979
Pm 4.020 1.647 3.742
Pm 1.647 -0.602 5.982
Pm 2.975 5.224 1.502
Te 0.000 0.000 0.000
Te 0.000 4.622 2.240
Rh 2.311 -0.974 3.360
Rh 3.649 2.311 1.120
Rh 2.311 5.596 -1.120
Rh 0.974 2.311 5.601
```

Computed properties:
Excess energy over the best structure of this formula in the dataset ... 0 meV/atom
Space group ... I-42d, No. 122
E_form (uncorrected) ... -0.77 eV/atom



12.
Compound: Pm2TeRh
Source: the Alexandria database
Functional: PBE
Structure: relaxed

```
4
Lattice="2.095 1.209 7.536 -2.095 1.209 7.536 0.000 -2.419 7.536" Properties=species:S:1:pos:R:3 pbc="T T T"
Pm 0.000 0.000 0.000
Pm 0.000 0.000 4.374
Te 0.000 0.000 17.252
Rh 0.000 0.000 13.511
```

Computed properties:
Excess energy over the best structure of this formula in the dataset ... 24 meV/atom
Space group ... R3m, No. 160
E_form (uncorrected) ... -1.00 eV/atom



13.
Compound: Pm3Te2Rh
Source: the Alexandria database
Functional: PBE
Structure: relaxed

```
6
Lattice="3.097 -7.492 0.000 3.097 7.492 0.000 0.000 0.000 4.228" Properties=species:S:1:pos:R:3 pbc="T T T"
Pm 0.000 0.000 0.000
Pm 3.097 1.875 2.114
Pm 3.097 -1.875 2.114
Te 3.097 5.097 2.114
Te 3.097 -5.097 2.114
Rh 3.097 0.000 0.000
```

Computed properties:
Excess energy over the best structure of this formula in the dataset ... 110 meV/atom
Space group ... Cmmm, No. 65
E_form (uncorrected) ... -1.02 eV/atom



14.
Compound: Pm3Te2Rh
Source: the Alexandria database
Functional: PBE
Structure: relaxed

```
6
Lattice="-2.099 3.142 6.770 2.099 -3.142 6.770 2.099 3.142 -6.770" Properties=species:S:1:pos:R:3 pbc="T T T"
Pm 0.000 0.000 0.000
Pm 0.000 0.000 4.900
Pm 0.000 0.000 8.639
Te 2.099 0.000 2.407
Te 0.000 3.142 4.362
Rh 0.000 3.142 0.000
```

Computed properties:
Excess energy over the best structure of this formula in the dataset ... 0 meV/atom
Space group ... Immm, No. 71
E_form (uncorrected) ... -1.13 eV/atom



15.
Compound: Pm2TeRh
Source: the Alexandria database
Functional: PBE
Structure: relaxed

```
4
Lattice="3.692 0.000 0.000 0.000 3.692 0.000 0.000 0.000 7.479" Properties=species:S:1:pos:R:3 pbc="T T T"
Pm 0.000 0.000 1.686
Pm 0.000 0.000 5.793
Te 1.846 1.846 3.739
Rh 1.846 1.846 0.000
```

Computed properties:
Excess energy over the best structure of this formula in the dataset ... 121 meV/atom
Space group ... P4/mmm, No. 123
E_form (uncorrected) ... -0.90 eV/atom



16.
Compound: PmTeRh2
Source: the Alexandria database
Functional: PBE
Structure: relaxed

```
4
Lattice="2.255 1.302 4.772 -2.255 1.302 4.772 0.000 -2.604 4.772" Properties=species:S:1:pos:R:3 pbc="T T T"
Pm 0.000 0.000 0.000
Te 0.000 0.000 7.158
Rh 0.000 0.000 3.005
Rh 0.000 0.000 11.311
```

Computed properties:
Excess energy over the best structure of this formula in the dataset ... 0 meV/atom
Space group ... R-3m, No. 166
E_form (uncorrected) ... -0.62 eV/atom



17.
Compound: PmTeRh2
Source: the Alexandria database
Functional: PBE
Structure: relaxed

```
4
Lattice="0.000 3.404 3.404 3.404 0.000 3.404 3.404 3.404 0.000" Properties=species:S:1:pos:R:3 pbc="T T T"
Pm 0.000 0.000 0.000
Te 3.404 3.404 3.404
Rh 1.702 1.702 1.702
Rh 5.106 5.106 5.106
```

Computed properties:
Excess energy over the best structure of this formula in the dataset ... 111 meV/atom
Space group ... Fm-3m, No. 225
E_form (uncorrected) ... -0.51 eV/atom



18.
Compound: PmTeRh2
Source: the Alexandria database
Functional: PBE
Structure: relaxed

```
4
Lattice="4.525 0.000 0.000 0.000 4.525 0.000 0.000 0.000 3.865" Properties=species:S:1:pos:R:3 pbc="T T T"
Pm 0.000 0.000 0.000
Te 2.262 2.262 0.000
Rh 0.000 2.262 1.932
Rh 2.262 0.000 1.932
```

Computed properties:
Excess energy over the best structure of this formula in the dataset ... 75 meV/atom
Space group ... P4/mmm, No. 123
E_form (uncorrected) ... -0.54 eV/atom



19.
Compound: Pm2TeRh
Source: the Alexandria database
Functional: PBE
Structure: relaxed

```
4
Lattice="0.000 3.700 3.700 3.700 0.000 3.700 3.700 3.700 0.000" Properties=species:S:1:pos:R:3 pbc="T T T"
Pm 1.850 1.850 1.850
Pm 5.550 5.550 5.550
Te 0.000 0.000 0.000
Rh 3.700 3.700 3.700
```

Computed properties:
Excess energy over the best structure of this formula in the dataset ... 313 meV/atom
Space group ... Fm-3m, No. 225
E_form (uncorrected) ... -0.71 eV/atom



20.
Compound: Pm4TeRh
Source: the Alexandria database
Functional: PBE
Structure: relaxed

```
12
Lattice="4.595 -7.071 0.000 4.595 7.071 0.000 -3.097 0.000 5.523" Properties=species:S:1:pos:R:3 pbc="T T T"
Pm 0.700 4.445 5.039
Pm 0.366 0.898 3.823
Pm 3.844 4.445 3.246
Pm 1.915 -0.898 1.062
Pm 4.177 0.898 4.461
Pm 2.248 -4.445 2.277
Pm 5.726 -0.898 1.700
Pm 5.392 -4.445 0.484
Te 3.820 1.781 1.381
Te 2.272 -1.781 4.142
Rh 2.272 7.029 4.142
Rh 3.820 -7.029 1.381
```

Computed properties:
Space group ... C2/c, No. 15
E_form (uncorrected) ... -0.66 eV/atom



21.
Compound: Pm2TeRh
Source: the Alexandria database
Functional: PBE
Structure: relaxed

```
8
Lattice="2.052 -11.799 0.000 2.052 11.799 0.000 0.000 0.000 4.523" Properties=species:S:1:pos:R:3 pbc="T T T"
Pm 2.052 10.458 3.392
Pm 2.052 3.776 3.392
Pm 2.052 -3.776 1.131
Pm 2.052 -10.458 1.131
Te 2.052 7.218 3.392
Te 2.052 -7.218 1.131
Rh 2.052 0.979 3.392
Rh 2.052 -0.979 1.131
```

Computed properties:
Excess energy over the best structure of this formula in the dataset ... 0 meV/atom
Space group ... Cmcm, No. 63
E_form (uncorrected) ... -1.02 eV/atom



22.
Compound: Pm5Te2Rh2
Source: the Alexandria database
Functional: PBE
Structure: relaxed

```
18
Lattice="7.947 -4.005 0.000 7.947 4.005 0.000 0.000 0.000 7.965" Properties=species:S:1:pos:R:3 pbc="T T T"
Pm 0.000 0.000 0.000
Pm 6.063 2.715 5.249
Pm 6.063 1.290 1.267
Pm 9.831 2.715 5.249
Pm 9.831 1.290 1.267
Pm 7.947 0.000 3.982
Pm 6.063 -1.290 6.698
Pm 6.063 -2.715 2.716
Pm 9.831 -1.290 6.698
Pm 9.831 -2.715 2.716
Te 3.304 0.000 0.000
Te 4.643 0.000 3.982
Te 11.251 0.000 3.982
Te 12.590 0.000 0.000
Rh 7.947 2.890 2.891
Rh 7.947 1.115 6.873
Rh 7.947 -1.115 1.091
Rh 7.947 -2.890 5.074
```

Computed properties:
Space group ... Cmce, No. 64
E_form (uncorrected) ... -0.97 eV/atom



23.
Compound: Pm4TeRh2
Source: the Alexandria database
Functional: PBE
Structure: relaxed

```
14
Lattice="0.000 6.159 6.168 6.150 0.000 6.168 6.150 6.159 0.000" Properties=species:S:1:pos:R:3 pbc="T T T"
Pm 9.452 5.936 5.944
Pm 6.377 6.381 2.860
Pm 2.848 2.856 2.860
Pm 6.377 2.856 6.392
Pm 5.923 9.461 5.944
Pm 9.452 9.461 9.476
Pm 5.923 5.936 9.476
Pm 2.848 6.381 6.392
Te 4.613 4.619 4.626
Te 7.688 7.698 7.710
Rh 0.000 0.000 0.000
Rh 3.075 3.079 0.000
Rh 3.075 0.000 3.084
Rh 0.000 3.079 3.084
```

Computed properties:
Excess energy over the best structure of this formula in the dataset ... 32 meV/atom
Space group ... Fddd, No. 70
E_form (uncorrected) ... -0.73 eV/atom



24.
Compound: Pm6TlTe3Rh2
Source: the Alexandria database
Functional: PBE
Structure: relaxed

```
12
Lattice="9.786 -2.116 0.000 9.786 2.116 0.000 -2.900 0.000 8.645" Properties=species:S:1:pos:R:3 pbc="T T T"
Pm -0.547 0.000 2.252
Pm 4.963 0.000 3.835
Pm 3.862 0.000 7.703
Pm 12.810 0.000 0.943
Pm 11.709 0.000 4.810
Pm 17.220 0.000 6.394
Tl 9.786 0.000 0.000
Te 0.773 0.000 7.163
Te 8.336 0.000 4.323
Te 15.900 0.000 1.483
Rh 2.298 0.000 2.811
Rh 14.374 0.000 5.834
```

Computed properties:
Space group ... C2/m, No. 12
E_form (uncorrected) ... -0.95 eV/atom



25.
Compound: PmTh2Rh
Source: the Alexandria database
Functional: PBE
Structure: relaxed

```
8
Lattice="3.825 0.000 0.000 0.000 9.989 0.000 -1.905 0.000 5.992" Properties=species:S:1:pos:R:3 pbc="T T T"
Pm -0.001 2.497 0.989
Pm 1.920 7.492 5.002
Th 0.006 0.591 4.336
Th 0.006 4.404 4.336
Th 1.913 5.585 1.655
Th 1.913 9.399 1.655
Rh 0.002 7.492 2.458
Rh 1.917 2.497 3.534
```

Computed properties:
Excess energy over the best structure of this formula in the dataset ... 0 meV/atom
E_form ... -0.46 eV/atom
Space group ... P2_1/m, No. 11